Entry 1:
# TaPOs2 PBE-GGA relaxed
data_TaPOs2
_chemical_formula_sum 'Ta1 P1 Os2'
_cell_length_a 4.9435
_cell_length_b 4.9435
_cell_length_c 4.4529
_cell_angle_alpha 88.55
_cell_angle_beta 88.55
_cell_angle_gamma 34.00
_space_group_name_H-M_alt 'P 1'
_space_group_IT_number 1
_space_group_name_Hall 'P 1'
loop_
_atom_site_label
_atom_site_type_symbol
_atom_site_fract_x
_atom_site_fract_y
_atom_site_fract_z
P1 P 0.5000 0.5000 0.0000
Os1 Os 0.2755 0.2755 0.7441
Ta1 Ta 0.0000 0.0000 0.5000
Os2 Os 0.7245 0.7245 0.2559
# D(E_F): 0.622 states/eV/atom
# SG: No. 12
# Spin magnetization: 0.000 μB/atom
# Raw total energy: -9.901 eV/atom
# ΔE_f: 0.029 eV/atom

Entry 2:
# MnRuPt6 PBE-GGA relaxed
data_MnRuPt6
_chemical_formula_sum 'Mn1 Ru1 Pt6'
_cell_length_a 3.9279
_cell_length_b 4.8300
_cell_length_c 7.3461
_cell_angle_alpha 77.04
_cell_angle_beta 74.49
_cell_angle_gamma 66.01
_space_group_name_H-M_alt 'P 1'
_space_group_IT_number 1
_space_group_name_Hall 'P 1'
loop_
_atom_site_label
_atom_site_type_symbol
_atom_site_fract_x
_atom_site_fract_y
_atom_site_fract_z
Pt1 Pt 0.2494 0.3761 0.1252
Ru1 Ru 0.0000 0.5000 0.5000
Pt2 Pt 0.2486 0.8767 0.6261
Pt3 Pt 0.4994 0.2507 0.7504
Pt4 Pt 0.5006 0.7493 0.2496
Pt5 Pt 0.7514 0.1233 0.3739
Pt6 Pt 0.7506 0.6239 0.8748
Mn1 Mn 0.0000 0.0000 0.0000
# D(E_F): 1.438 states/eV/atom
# SG: No. 12
# Spin magnetization: 0.338 μB/atom
# Raw total energy: -6.977 eV/atom
# ΔE_f: -0.141 eV/atom

Entry 3:
# RbTl9Pb3 PBE-GGA relaxed
data_RbTl9Pb3
_chemical_formula_sum 'Rb1 Tl9 Pb3'
_cell_length_a 6.6217
_cell_length_b 8.7248
_cell_length_c 8.8621
_cell_angle_alpha 81.83
_cell_angle_beta 68.06
_cell_angle_gamma 67.64
_space_group_name_H-M_alt 'P 1'
_space_group_IT_number 1
_space_group_name_Hall 'P 1'
loop_
_atom_site_label
_atom_site_type_symbol
_atom_site_fract_x
_atom_site_fract_y
_atom_site_fract_z
Tl1 Tl 0.5002 0.2134 0.7850
Tl2 Tl 0.0035 0.6439 0.3578
Tl3 Tl 0.9965 0.3561 0.6422
Tl4 Tl 0.6387 0.3561 0.3578
Pb1 Pb 0.0000 0.0000 0.5000
Tl5 Tl 0.7147 0.7866 0.7850
Rb1 Rb 0.0000 0.0000 0.0000
Pb2 Pb 0.5000 0.0000 0.5000
Tl6 Tl 0.0000 0.5000 0.0000
Pb3 Pb 0.5000 0.5000 0.0000
Tl7 Tl 0.4998 0.7866 0.2150
Tl8 Tl 0.3613 0.6439 0.6422
Tl9 Tl 0.2853 0.2134 0.2150
# D(E_F): 0.587 states/eV/atom
# SG: No. 12
# Spin magnetization: 0.000 μB/atom
# Raw total energy: -2.578 eV/atom
# ΔE_f: -0.010 eV/atom

Entry 4:
# LiDyBe2H8 PBE-GGA relaxed
data_LiDyBe2H8
_chemical_formula_sum 'Li1 Dy1 Be2 H8'
_cell_length_a 4.3589
_cell_length_b 4.3589
_cell_length_c 6.4064
_cell_angle_alpha 90.00
_cell_angle_beta 90.00
_cell_angle_gamma 120.00
_space_group_name_H-M_alt 'P 1'
_space_group_IT_number 1
_space_group_name_Hall 'P 1'
loop_
_atom_site_label
_atom_site_type_symbol
_atom_site_fract_x
_atom_site_fract_y
_atom_site_fract_z
H1 H 0.9316 0.6772 0.2846
Dy1 Dy 0.0000 0.0000 0.0000
H2 H 0.3228 0.2544 0.2846
H3 H 0.6667 0.3333 0.0026
Be1 Be 0.3333 0.6667 0.7673
H4 H 0.2544 0.9316 0.7154
H5 H 0.3333 0.6667 0.9974
H6 H 0.7456 0.0684 0.2846
Be2 Be 0.6667 0.3333 0.2327
H7 H 0.0684 0.3228 0.7154
H8 H 0.6772 0.7456 0.7154
Li1 Li 0.0000 0.0000 0.5000
# D(E_F): 0.000 states/eV/atom
# SG: No. 147
# Spin magnetization: 0.000 μB/atom
# Raw total energy: -3.703 eV/atom

Entry 5:
# Ti6CoRh PBE-GGA relaxed
data_Ti6CoRh
_chemical_formula_sum 'Ti6 Co1 Rh1'
_cell_length_a 4.3027
_cell_length_b 4.3027
_cell_length_c 7.3546
_cell_angle_alpha 72.99
_cell_angle_beta 72.99
_cell_angle_gamma 90.00
_space_group_name_H-M_alt 'P 1'
_space_group_IT_number 1
_space_group_name_Hall 'P 1'
loop_
_atom_site_label
_atom_site_type_symbol
_atom_site_fract_x
_atom_site_fract_y
_atom_site_fract_z
Ti1 Ti 0.2508 0.2508 0.4984
Ti2 Ti 0.1145 0.6145 0.7711
Co1 Co 0.5000 0.5000 0.0000
Ti3 Ti 0.8855 0.3855 0.2289
Ti4 Ti 0.6145 0.1145 0.7711
Ti5 Ti 0.7492 0.7492 0.5016
Ti6 Ti 0.3855 0.8855 0.2289
Rh1 Rh 0.0000 0.0000 0.0000
# D(E_F): 1.237 states/eV/atom
# SG: No. 139
# Relative energy among the computed polymorphs: 0.000 eV/atom
# Spin magnetization: 0.051 μB/atom
# Raw total energy: -8.033 eV/atom
# ΔE_f: -0.304 eV/atom

Entry 6:
# Tm4Pd3Pt3 PBE-GGA relaxed
data_Tm4Pd3Pt3
_chemical_formula_sum 'Tm8 Pd6 Pt6'
_cell_length_a 8.0735
_cell_length_b 8.0735
_cell_length_c 8.0735
_cell_angle_alpha 109.47
_cell_angle_beta 109.47
_cell_angle_gamma 109.47
_space_group_name_H-M_alt 'P 1'
_space_group_IT_number 1
_space_group_name_Hall 'P 1'
loop_
_atom_site_label
_atom_site_type_symbol
_atom_site_fract_x
_atom_site_fract_y
_atom_site_fract_z
Pt1 Pt 0.2500 0.3750 0.6250
Tm1 Tm 0.2440 0.7440 0.7440
Tm2 Tm 0.7440 0.2440 0.2440
Pt2 Pt 0.7500 0.1250 0.8750
Tm3 Tm 0.2560 0.5000 0.0000
Pd1 Pd 0.6250 0.7500 0.8750
Pd2 Pd 0.1250 0.3750 0.2500
Pd3 Pd 0.7500 0.6250 0.3750
Pd4 Pd 0.2500 0.8750 0.1250
Tm4 Tm 0.7560 0.5000 0.0000
Pd5 Pd 0.3750 0.1250 0.7500
Tm5 Tm 0.5000 0.2560 0.5000
Pt3 Pt 0.6250 0.8750 0.2500
Pt4 Pt 0.1250 0.7500 0.3750
Tm6 Tm 0.0000 0.0000 0.2560
Pt5 Pt 0.8750 0.6250 0.7500
Tm7 Tm 0.0000 0.0000 0.7560
Pd6 Pd 0.8750 0.2500 0.6250
Tm8 Tm 0.5000 0.7560 0.5000
Pt6 Pt 0.3750 0.2500 0.1250
# D(E_F): 0.281 states/eV/atom
# SG: No. 220
# Spin magnetization: 0.000 μB/atom
# Raw total energy: -6.046 eV/atom
# ΔE_f: -0.887 eV/atom